(1)
This record from Alexandria describes a relaxed PAuCl2O crystal. The functional is PBE-GGA.

```
data_PAuCl2O
_symmetry_space_group_name_H-M 'P 4/m m m'
_symmetry_Int_Tables_number 123
_symmetry_space_group_name_Hall '-P 4 2'
_cell_length_a 5.618
_cell_length_b 5.618
_cell_length_c 3.293
_cell_angle_alpha 90.00
_cell_angle_beta 90.00
_cell_angle_gamma 90.00
loop_
_atom_site_label
_atom_site_type_symbol
_atom_site_fract_x
_atom_site_fract_y
_atom_site_fract_z
_atom_site_occupancy
P1 P 0.000 0.000 0.000 1
Au1 Au 0.500 0.500 0.000 1
Cl1 Cl 0.000 0.500 0.500 1
O1 O 0.000 0.000 0.500 1
```

## Properties
Density of states at the Fermi level (states/eV/cell): 4.07
Formation energy from raw total energies (eV per atom): 0.36
E above lowest polymorph (eV per atom): 0.499
E (eV/f.u.): -15.55



(2)
This record from Alexandria describes a relaxed PbAuClO2 crystal. The functional is PBE-GGA.

```
data_PbAuClO2
_symmetry_space_group_name_H-M 'C m c m'
_symmetry_Int_Tables_number 63
_symmetry_space_group_name_Hall '-C 2c 2'
_cell_length_a 5.640
_cell_length_b 12.328
_cell_length_c 5.848
_cell_angle_alpha 90.00
_cell_angle_beta 90.00
_cell_angle_gamma 90.00
loop_
_atom_site_label
_atom_site_type_symbol
_atom_site_fract_x
_atom_site_fract_y
_atom_site_fract_z
_atom_site_occupancy
Pb1 Pb 0.000 0.135 0.250 1
Au1 Au 0.000 0.484 0.250 1
Cl1 Cl 0.000 0.244 0.750 1
O1 O 0.249 0.500 0.000 1
```

## Properties
Formation energy from raw total energies (eV per atom): -0.60
E (eV/f.u.): -21.76



(3)
This record from Alexandria describes a relaxed PdAuCl2O crystal. The functional is PBE-GGA.

```
data_PdAuCl2O
_symmetry_space_group_name_H-M 'P 4/m m m'
_symmetry_Int_Tables_number 123
_symmetry_space_group_name_Hall '-P 4 2'
_cell_length_a 4.827
_cell_length_b 4.827
_cell_length_c 4.093
_cell_angle_alpha 90.00
_cell_angle_beta 90.00
_cell_angle_gamma 90.00
loop_
_atom_site_label
_atom_site_type_symbol
_atom_site_fract_x
_atom_site_fract_y
_atom_site_fract_z
_atom_site_occupancy
Pd1 Pd 0.000 0.000 0.000 1
Au1 Au 0.500 0.500 0.000 1
Cl1 Cl 0.000 0.500 0.500 1
O1 O 0.500 0.500 0.500 1
```

## Properties
Density of states at the Fermi level (states/eV/cell): 6.76
Formation energy from raw total energies (eV per atom): 0.68
E (eV/f.u.): -13.72



(4)
This record from Alexandria describes a relaxed Rb6Au2ClO crystal. The functional is PBE-GGA.

```
data_Rb6Au2ClO
_symmetry_space_group_name_H-M 'R -3 m'
_symmetry_Int_Tables_number 166
_symmetry_space_group_name_Hall '-R 3 2"'
_cell_length_a 8.0652
_cell_length_b 8.0652
_cell_length_c 46.7932
_cell_angle_alpha 90.00
_cell_angle_beta 90.00
_cell_angle_gamma 120.00
loop_
_atom_site_label
_atom_site_type_symbol
_atom_site_fract_x
_atom_site_fract_y
_atom_site_fract_z
_atom_site_occupancy
Rb1 Rb 0.0098 0.5049 0.2002 1
Rb2 Rb 0.0173 0.5086 0.6323 1
Au1 Au 0.0000 0.0000 0.1917 1
Au2 Au 0.0000 0.0000 0.3578 1
Cl1 Cl 0.0000 0.0000 0.0856 1
O1 O 0.0000 0.0000 0.0000 1
O2 O 0.0000 0.0000 0.5000 1
```

## Properties
Density of states at the Fermi level (states/eV/cell): 29.99
Formation energy from raw total energies (eV per atom): -0.76
E (eV/f.u.): -26.72



(5)
This record from Alexandria describes a relaxed Rb12Au4ClO3 crystal. The functional is PBE-GGA.

```
data_Rb12Au4ClO3
_symmetry_space_group_name_H-M 'I m -3 m'
_symmetry_Int_Tables_number 229
_symmetry_space_group_name_Hall '-I 4 2 3'
_cell_length_a 11.552
_cell_length_b 11.552
_cell_length_c 11.552
_cell_angle_alpha 90.00
_cell_angle_beta 90.00
_cell_angle_gamma 90.00
loop_
_atom_site_label
_atom_site_type_symbol
_atom_site_fract_x
_atom_site_fract_y
_atom_site_fract_z
_atom_site_occupancy
Rb1 Rb 0.000 0.000 0.274 1
Rb2 Rb 0.000 0.250 0.500 1
Au1 Au 0.250 0.250 0.250 1
Cl1 Cl 0.000 0.000 0.000 1
O1 O 0.000 0.000 0.500 1
```

## Properties
Density of states at the Fermi level (states/eV/cell): 9.41
Formation energy from raw total energies (eV per atom): -0.73
E (eV/f.u.): -55.98



(6)
This record from Alexandria describes a relaxed Rb6Au2Cl2O crystal. The functional is PBE-GGA.

```
data_Rb6Au2Cl2O
_symmetry_space_group_name_H-M 'C 1 2/m 1'
_symmetry_Int_Tables_number 12
_cell_length_a 8.277
_cell_length_b 13.636
_cell_length_c 8.481
_cell_angle_alpha 90.00
_cell_angle_beta 108.70
_cell_angle_gamma 90.00
loop_
_symmetry_equiv_pos_as_xyz
'x,y,z'
'-x,-y,-z'
'-x,y,-z'
'x,-y,z'
'x+1/2,y+1/2,z'
'-x+1/2,-y+1/2,-z'
'-x+1/2,y+1/2,-z'
'x+1/2,-y+1/2,z'
loop_
_atom_site_label
_atom_site_type_symbol
_atom_site_fract_x
_atom_site_fract_y
_atom_site_fract_z
_atom_site_occupancy
Rb1 Rb 0.202 0.000 0.298 1
Rb2 Rb 0.208 0.152 0.701 1
Au1 Au 0.000 0.183 0.000 1
Cl1 Cl 0.000 0.341 0.500 1
O1 O 0.000 0.000 0.500 1
```

## Properties
Formation energy from raw total energies (eV per atom): -1.05
E (eV/f.u.): -32.59



(7)
This record from Alexandria describes a relaxed Rb8AuCl2O crystal. The functional is PBE-GGA.

```
data_Rb8AuCl2O
_symmetry_space_group_name_H-M 'P 1 2/m 1'
_symmetry_Int_Tables_number 10
_cell_length_a 7.814
_cell_length_b 9.639
_cell_length_c 7.817
_cell_angle_alpha 90.00
_cell_angle_beta 92.30
_cell_angle_gamma 90.00
loop_
_symmetry_equiv_pos_as_xyz
'x,y,z'
'-x,-y,-z'
'-x,y,-z'
'x,-y,z'
loop_
_atom_site_label
_atom_site_type_symbol
_atom_site_fract_x
_atom_site_fract_y
_atom_site_fract_z
_atom_site_occupancy
Rb1 Rb 0.185 0.000 0.309 1
Rb2 Rb 0.240 0.500 0.259 1
Rb3 Rb 0.315 0.294 0.814 1
Au1 Au 0.500 0.000 0.000 1
Cl1 Cl 0.000 0.265 0.500 1
O1 O 0.500 0.500 0.000 1
```

## Properties
Density of states at the Fermi level (states/eV/cell): 5.48
Formation energy from raw total energies (eV per atom): -0.88
E (eV/f.u.): -30.20



(8)
This record from Alexandria describes a relaxed Rb6AuCl2O crystal. The functional is PBE-GGA.

```
data_Rb6AuCl2O
_symmetry_space_group_name_H-M 'R 3'
_symmetry_Int_Tables_number 146
_symmetry_space_group_name_Hall 'R 3'
_cell_length_a 8.1383
_cell_length_b 8.1383
_cell_length_c 22.2105
_cell_angle_alpha 90.00
_cell_angle_beta 90.00
_cell_angle_gamma 120.00
loop_
_atom_site_label
_atom_site_type_symbol
_atom_site_fract_x
_atom_site_fract_y
_atom_site_fract_z
_atom_site_occupancy
Rb1 Rb 0.0230 0.2973 0.0000 1
Rb2 Rb 0.0309 0.7467 0.8457 1
Au1 Au 0.0000 0.0000 0.4489 1
Cl1 Cl 0.0000 0.0000 0.2540 1
Cl2 Cl 0.0000 0.0000 0.7278 1
O1 O 0.0000 0.0000 0.9261 1
```

## Properties
Density of states at the Fermi level (states/eV/cell): 10.23
Formation energy from raw total energies (eV per atom): -1.07
E (eV/f.u.): -28.45